A geometry-optimized MnHg2Ir structure. Source: the Alexandria database, functional PBE-GGA.

a b c (Å): 9.622 9.622 9.622
angles (deg): 17.90 17.90 17.90
Fractional coordinates of all 4 atoms:
1 Ir 0.489 0.489 0.489
2 Hg 0.010 0.010 0.010
3 Hg 0.242 0.242 0.242
4 Mn 0.758 0.758 0.758

Results
Its formation energy is 29 kJ per mole of atoms. For the density, the calculation gives 14.651 Mg/m³. The relative energy among the computed polymorphs is 90 meV per atom. As for the total moment: 0.85 μB per atom.